Record 1
A geometry-optimized NaPtRhSe3 structure, computed with PBE-GGA.

Cell and atoms, written as POSCAR:
```
NaPtRhSe3
1.0
7.824 0.000 0.000
0.000 3.770 0.000
-0.879 0.000 8.869
Na Pt Rh Se
2 2 2 6
Cartesian
1.047 0.942 2.084
5.898 2.827 6.785
0.290 0.942 5.050
6.656 2.827 3.820
2.071 2.827 7.543
4.875 0.942 1.327
0.400 0.942 7.617
1.889 2.827 5.043
3.215 2.827 1.197
3.731 0.942 7.672
5.056 0.942 3.826
6.545 2.827 1.253
```

Values from the calculation:
Mass density   7081 kg/m³
ΔE_f (raw)   -0.461 eV/atom
SG   P2_1/m (11)
VASP energy   -4.655 eV/atom


Record 2
A geometry-optimized Nd8AlIr2 structure, computed with PBE-GGA.

Cell and atoms, written as POSCAR:
```
Nd8AlIr2
1.0
4.480 -6.815 0.000
4.480 6.815 0.000
-1.358 0.000 5.436
Nd Al Ir
8 1 2
Cartesian
1.006 1.715 3.070
4.480 3.448 0.000
1.006 -1.715 3.070
3.182 0.000 1.049
4.420 0.000 4.387
6.596 1.715 2.366
4.480 -3.448 0.000
6.596 -1.715 2.366
0.000 0.000 0.000
3.801 2.634 2.718
3.801 -2.634 2.718
```

Values from the calculation:
Mass density   7832 kg/m³
Formation enthalpy at 0 K   -0.2733 eV/atom
SG   C2/m (12)
VASP energy   -5.692 eV/atom


Record 3
A geometry-optimized Sm3InSe6 structure, computed with PBE-GGA.

Cell and atoms, written as POSCAR:
```
Sm3InSe6
1.0
14.320 0.000 0.000
0.000 17.587 0.000
0.000 0.000 4.098
Sm In Se
12 4 24
Cartesian
0.560 3.951 0.000
2.698 11.339 0.000
3.571 15.712 2.049
3.589 6.918 0.000
4.463 2.546 2.049
6.601 12.744 2.049
7.720 4.843 2.049
9.858 15.042 2.049
10.731 10.669 0.000
10.749 1.875 2.049
11.623 6.248 0.000
13.761 13.637 0.000
0.000 0.000 2.049
0.000 8.794 2.049
7.160 0.000 0.000
7.160 8.794 0.000
0.316 6.963 0.000
1.373 16.046 0.000
1.585 2.062 2.049
1.630 13.143 2.049
2.598 5.006 2.049
2.752 9.133 2.049
4.408 0.339 0.000
4.562 13.800 0.000
5.530 4.350 0.000
5.575 10.856 0.000
5.787 7.252 2.049
6.844 15.756 2.049
7.476 1.831 2.049
8.533 10.335 2.049
8.745 6.731 0.000
8.790 13.238 0.000
9.758 3.788 0.000
9.912 17.249 0.000
11.568 8.455 2.049
11.722 12.581 2.049
12.690 4.444 2.049
12.735 15.525 2.049
12.948 1.541 0.000
14.004 10.625 0.000
```

Values from the calculation:
Mass density   6690 kg/m³
Energy relative to the lowest polymorph listed for this composition   0 meV per atom
ΔE_f (raw)   -1.548 eV/atom
SG   Pnnm (58)
VASP energy   -5.328 eV/atom


Record 4
A geometry-optimized Sc2VSb structure, computed with PBE-GGA.

Cell and atoms, written as POSCAR:
```
Sc2VSb
1.0
-2.115 2.115 10.209
2.115 -2.115 10.209
2.115 2.115 -10.209
Sc V Sb
4 2 2
Cartesian
3.172 1.030 -2.552
1.030 1.057 2.552
-1.057 1.084 7.656
1.084 1.057 12.761
2.115 0.000 5.104
0.000 0.000 10.209
0.000 0.000 0.000
0.000 2.115 5.104
```

Values from the calculation:
Mass density   4776 kg/m³
ΔE_f (raw)   0.248 eV/atom
SG   I-42d (122)
VASP energy   -6.228 eV/atom


Record 5
A geometry-optimized Mo2PbBr structure, computed with PBE-GGA.

Cell and atoms, written as POSCAR:
```
Mo2PbBr
1.0
5.199 -1.642 0.000
5.199 1.642 0.000
-4.493 0.000 6.318
Mo Pb Br
2 1 1
Cartesian
0.569 0.000 2.300
5.335 0.000 4.018
-2.247 0.000 3.159
5.199 0.000 0.000
```

Values from the calculation:
Mass density   7376 kg/m³
Energy relative to the lowest polymorph listed for this composition   322 meV per atom
ΔE_f (raw)   0.533 eV/atom
SG   C2/m (12)
VASP energy   -6.228 eV/atom